# 1
The following is a DFT calculation (PBE) of a relaxed ZrGe2Pd crystal.

Geometry as extended XYZ:
```
4
Lattice="2.4744 -3.8276 -0.7736 -1.1099 -3.9425 2.1438 -1.8406 -3.4968 -2.3992" Properties=species:S:1:pos:R:3 pbc="T T T"
Ge -0.1190 -2.8167 -0.2573
Ge -0.3571 -8.4502 -0.7718
Zr 0.0000 0.0000 0.0000
Pd -0.2381 -5.6334 -0.5145
```

Properties
For the density of states at the Fermi level, the calculation gives 3.9 states/eV/f.u. The formation energy from the elements is -1.29 eV per formula unit. The energy is -6.07 eV per atom.

=====

# 2
The following is a DFT calculation (PBE) of a relaxed GeTeCN2 crystal.

Geometry as extended XYZ:
```
5
Lattice="3.8406 0.0000 0.0000 0.0000 3.8406 0.0000 0.0000 0.0000 4.4479" Properties=species:S:1:pos:R:3 pbc="T T T"
Ge 1.9203 1.9203 2.2240
Te 0.0000 0.0000 2.2240
C 0.0000 0.0000 0.0000
N 0.0000 1.9203 0.0000
N 1.9203 0.0000 0.0000
```

Properties
Its energy relative to the lowest polymorph listed for this composition is 7.746 kcal/mol of atoms. For the density of states at the Fermi level, the calculation gives 1.8 states/eV/f.u. The energy is -4.41 eV per atom. Its uncorrected formation energy is 53.4 kcal/mol of atoms.

=====

# 3
The following is a DFT calculation (PBE) of a relaxed AcInTe2 crystal.

Geometry as extended XYZ:
```
4
Lattice="4.6596 0.0000 0.0000 2.3298 4.0354 0.0000 2.3298 1.3451 8.4114" Properties=species:S:1:pos:R:3 pbc="T T T"
Ac 4.6596 2.6902 4.2124
In 6.9894 4.0354 8.3917
Te 2.3298 1.3451 6.2336
Te 2.3298 1.3451 2.1908
```

Properties
Its energy relative to the lowest polymorph listed for this composition is 1.769 kcal/mol of atoms. For the density of states at the Fermi level, the calculation gives 0.2 states/eV/f.u. The energy is -4.26 eV per atom. Its uncorrected formation energy is -22.5 kcal/mol of atoms.

=====

# 4
The following is a DFT calculation (PBE) of a relaxed PrInPt6 crystal.

Geometry as extended XYZ:
```
8
Lattice="5.2967 0.0000 0.0000 0.0000 5.2967 0.0000 0.0000 0.0000 5.2967" Properties=species:S:1:pos:R:3 pbc="T T T"
Pr 2.6483 2.6483 2.6483
In 0.0000 0.0000 0.0000
Pt 2.6483 3.9883 0.0000
Pt 3.9883 0.0000 2.6483
Pt 0.0000 2.6483 1.3083
Pt 1.3083 0.0000 2.6483
Pt 2.6483 1.3083 0.0000
Pt 0.0000 2.6483 3.9883
```

Properties
For the density of states at the Fermi level, the calculation gives 11.9 states/eV/f.u. The formation energy from the elements is -1.98 eV per formula unit. The energy is -5.72 eV per atom.

=====

- What is the energy in the second record?
  -4.41 eV per atom